No. 1
This record from the Alexandria database describes KMnNF2 after structural relaxation. The functional is GGA-PBEsol.

Summary:
The total magnetization comes out at 7.06 μB per formula unit. Its electronic total energy is -0.1584 hartree per atom. The density of states at the Fermi level comes out at 0.6168 states/eV per atom. For the formation energy without anion corrections, the calculation gives 346 meV/atom.

a = 4.5411 Å, b = 4.5411 Å, c = 4.7435 Å
α = 90.00°, β = 90.00°, γ = 90.00°
Closest atoms and distances in Å follow each position.
Space group P4/mmm (No. 123)
One atom of each set of equivalent atoms:
K 0.0000 0.0000 0.0000 (multiplicity 1)  4 F 2.27, 2 N 2.37
Mn 0.5000 0.5000 0.5000 (multiplicity 1)  4 N 3.21, 8 F 3.28
N 0.0000 0.0000 0.5000 (multiplicity 1)  2 K 2.37
F 0.0000 0.5000 0.0000 (multiplicity 2)  2 K 2.27


No. 2
This record from the Alexandria database describes AlNiHg2 after structural relaxation. The functional is GGA-PBEsol.

Summary:
As for the calculated formation energy: 0.15 eV/atom. The total magnetization comes out at 0.00 μB per formula unit. Its electronic total energy is -0.0991 hartree per atom. The density of states at the Fermi level comes out at 0.4480 states/eV per atom.

a = 5.6698 Å, b = 7.4716 Å, c = 3.1496 Å
α = 90.00°, β = 90.00°, γ = 90.00°
Closest atoms and distances in Å follow each position.
Space group Cmmm (No. 65)
One atom of each set of equivalent atoms:
Al 0.0000 0.0000 0.0000 (multiplicity 2)  8 Hg 2.82, 2 Ni 2.83, 2 Al 3.15
Ni 0.0000 0.5000 0.0000 (multiplicity 2)  8 Hg 2.82, 2 Al 2.83, 2 Ni 3.15
Hg 0.2500 0.2500 0.5000 (multiplicity 4)  4 Ni 2.82, 4 Al 2.82, 4 Hg 2.83-3.15


No. 3
This record from the Alexandria database describes Mg3TiBr after structural relaxation. The functional is GGA-PBEsol.

Summary:
The total magnetization comes out at 2.63 μB per formula unit. Its electronic total energy is -0.0902 hartree per atom. The density of states at the Fermi level comes out at 0.8530 states/eV per atom. For the formation energy without anion corrections, the calculation gives 615 meV/atom.

a = 5.0813 Å, b = 5.0813 Å, c = 5.0813 Å
α = 90.00°, β = 90.00°, γ = 90.00°
Closest atoms and distances in Å follow each position.
Space group Pm-3m (No. 221)
One atom of each set of equivalent atoms:
Mg 0.0000 0.0000 0.5000 (multiplicity 3)  2 Br 2.54
Ti 0.5000 0.5000 0.5000 (multiplicity 1)  12 Mg 3.59
Br 0.0000 0.0000 0.0000 (multiplicity 1)  6 Mg 2.54


No. 4
This record from the Alexandria database describes Bi2TeI after structural relaxation. The functional is GGA-PBEsol.

Summary:
The total magnetization comes out at 0.00 μB per formula unit. Its electronic total energy is -0.1359 hartree per atom. The density of states at the Fermi level comes out at 0.0842 states/eV per atom. For the formation energy without anion corrections, the calculation gives -232 meV/atom.

a = 4.3786 Å, b = 4.3786 Å, c = 52.7620 Å
α = 90.00°, β = 90.00°, γ = 120.00°
Closest atoms and distances in Å follow each position.
Space group R-3m (No. 166, hexagonal axes)
One atom of each set of equivalent atoms:
Bi 0.0000 0.0000 0.0582 (multiplicity 6)  3 Te 3.04, 3 I 3.26
Bi 0.0000 0.0000 0.1826 (multiplicity 6)  3 Bi 3.04
Te 0.0000 0.0000 0.3073 (multiplicity 6)  3 Bi 3.04
I 0.0000 0.0000 0.4305 (multiplicity 6)  3 Bi 3.26


No. 5
This record from the Alexandria database describes LiCa2Ru after structural relaxation. The functional is GGA-PBEsol.

Summary:
As for the calculated formation energy: 0.33 eV/atom. The total magnetization comes out at 0.16 μB per formula unit. Its electronic total energy is -0.1388 hartree per atom. The density of states at the Fermi level comes out at 1.0501 states/eV per atom.

a = 3.4619 Å, b = 3.4619 Å, c = 7.6224 Å
α = 90.00°, β = 90.00°, γ = 90.00°
Closest atoms and distances in Å follow each position.
Space group P4mm (No. 99)
One atom of each set of equivalent atoms:
Li 0.0000 0.0000 0.0000 (multiplicity 1)  4 Ru 2.61, 1 Ca 2.66
Ca 0.0000 0.0000 0.3487 (multiplicity 1)  1 Li 2.66
Ca 0.5000 0.5000 0.7630 (multiplicity 1)  1 Ru 2.72, 4 Li 3.04
Ru 0.5000 0.5000 0.1205 (multiplicity 1)  4 Li 2.61, 1 Ca 2.72


No. 6
This record from the Alexandria database describes LiCu2F6 after structural relaxation. The functional is GGA-PBEsol.

Summary:
The calculation puts the energy above the most stable polymorph in this dataset at 20 meV/atom. The total magnetization comes out at 3.03 μB per formula unit. Its electronic total energy is -0.1563 hartree per atom. The density of states at the Fermi level comes out at 0.2795 states/eV per atom. For the formation energy without anion corrections, the calculation gives -1787 meV/atom.

a = 5.5289 Å, b = 4.5095 Å, c = 15.3045 Å
α = 90.00°, β = 99.35°, γ = 90.00°
Closest atoms and distances in Å follow each position.
Space group P2_1/c (No. 14)
One atom of each set of equivalent atoms:
Li 0.1173 0.0109 0.4237 (multiplicity 4)  6 F 1.93-2.15
Cu 0.2435 0.5344 0.2479 (multiplicity 4)  6 F 1.93-2.01
Cu 0.3855 0.0143 0.0821 (multiplicity 4)  6 F 1.86-2.02
F 0.0445 0.6907 0.8032 (multiplicity 4)  2 Cu 1.94, 1 Li 2.04
F 0.1317 0.2394 0.5309 (multiplicity 4)  1 Cu 1.86, 2 Li 1.93-1.99
F 0.1772 0.7409 0.6393 (multiplicity 4)  2 Cu 1.93, 1 Li 2.08
F 0.3311 0.1941 0.8567 (multiplicity 4)  2 Cu 1.93-1.95, 1 Li 2.15
F 0.3843 0.7363 0.4754 (multiplicity 4)  2 Cu 1.94-1.99, 1 Li 1.99
F 0.4542 0.2481 0.6955 (multiplicity 4)  3 Cu 1.98-2.02